(1)
Re2SiIr after structural relaxation. Source: Alexandria, functional GGA-PBE.

a b c (Å): 4.018 2.795 10.187
angles (deg): 90.00 90.00 90.00
Fractional coordinates of all 8 atoms:
Re1 0.000 0.000 0.000
Re2 0.000 0.500 0.500
Re3 0.500 0.000 0.372
Re4 0.500 0.500 0.872
Si1 0.500 0.000 0.612
Si2 0.500 0.500 0.112
Ir1 0.000 0.000 0.737
Ir2 0.000 0.500 0.237

Output
**Space-group type**: No. 38
**DOS(E_F)**: 2.5 states/eV/f.u.
**Energy relative to the elements, uncorrected**: -0.18 eV/atom


(2)
ReSiIr3 after structural relaxation. Source: Alexandria, functional GGA-PBE.

a b c (Å): 4.743 4.743 4.743
angles (deg): 90.00 90.00 90.00
Fractional coordinates of all 5 atoms:
Re1 0.000 0.000 0.000
Si1 0.500 0.500 0.500
Ir1 0.000 0.000 0.500
Ir2 0.000 0.500 0.000
Ir3 0.500 0.000 0.000

Output
**Space-group type**: No. 221
**DOS(E_F)**: 4.8 states/eV/f.u.
**Energy relative to the elements, uncorrected**: 1.80 eV/atom
**Energy above the lowest structure with this stoichiometry**: 651.6 meV per atom